DFT (GGA-PBE) results for a relaxed Hf3ReSe crystal.

Output
Relative energy among the computed polymorphs in eV/atom: 0.095
Symmetry: Pm-3m
Uncorrected formation energy in meV/atom: 582
V in Å³/cell: 111.39

Cell lengths 4.8116, 4.8116, 4.8116 Å; angles 90.00, 90.00, 90.00 degrees
Site moments in Bohr magnetons follow the coordinates.
Sites, in units of the cell vectors:
Re 0.5000 0.5000 0.5000  1.26
Hf 0.0000 0.5000 0.0000  -0.01
Hf 0.0000 0.0000 0.5000  -0.05
Hf 0.5000 0.0000 0.0000  -0.05
Se 0.0000 0.0000 0.0000  0.01